Compound: PrNiO3
Source: Alexandria
Functional: GGA-PBEsol
Structure: optimized geometry

Summary:
For the magnetization, the calculation gives 0.00 μB per formula unit. Its uncorrected formation energy is -209 kJ/mol of atoms.

Lattice parameters (Å, degrees): 5.300 7.515 5.416 90.00 90.00 90.00
Space group Pnma (No. 62)
Asymmetric unit:
1 Pr 0.019 0.250 0.004 x4
2 Ni 0.000 0.000 0.500 x4
3 O 0.002 0.750 0.434 x4
4 O 0.233 0.536 0.766 x8